ZnCu2Pt, optimized geometry, DFT PBE; theoretical density = 12.0 g/cm3; DOS(E_F) = 0.37 states/eV/atom; E = -4.096 eV per atom; energy relative to the elements = -0.22 eV per atom
1.0
5.077 0.012 0.002
2.433 4.456 -0.002
-3.244 -3.094 2.384
Zn Cu Pt
1 2 1
Direct
0.250 0.750 0.500
0.008 0.008 0.000
0.492 0.492 0.000
0.750 0.250 0.500



Zn7CuPt3, optimized geometry, DFT PBE; theoretical density = 9.0 g/cm3; DOS(E_F) = 0.34 states/eV/atom; E = -3.108 eV per atom; energy relative to the elements = -0.28 eV per atom
1.0
-2.332 1.529 0.062
-0.686 -3.016 -14.085
-5.462 -8.414 2.068
Zn Pt Cu
14 6 2
Direct
0.727 0.454 0.585
0.489 0.979 0.376
0.273 0.546 0.085
0.580 0.159 0.250
0.511 0.021 0.876
0.373 0.746 0.417
0.727 0.454 0.915
0.373 0.746 0.083
0.511 0.021 0.624
0.627 0.254 0.583
0.489 0.979 0.124
0.627 0.254 0.917
0.273 0.546 0.415
0.420 0.841 0.750
0.823 0.646 0.250
0.177 0.354 0.750
0.934 0.869 0.960
0.934 0.869 0.540
0.066 0.131 0.460
0.066 0.131 0.040
0.927 0.855 0.250
0.073 0.145 0.750



Zn3CuPt, optimized geometry, DFT PBE; theoretical density = 6.8 g/cm3; distance to the lowest polymorph of the same formula = 291.9 kJ/mol of formula units; DOS(E_F) = 0.40 states/eV/atom; E = -2.484 eV per atom; energy relative to the elements = 0.31 eV per atom
1.0
4.802 0.000 0.000
0.000 4.802 0.000
0.000 0.000 4.802
Zn Pt Cu
3 1 1
Direct
0.000 0.500 0.000
0.500 0.000 0.000
0.000 0.000 0.500
0.000 0.000 0.000
0.500 0.500 0.500



ZnCu2Pt3, optimized geometry, DFT PBE; theoretical density = 15.2 g/cm3; distance to the lowest polymorph of the same formula = 0.0 kJ/mol of formula units; DOS(E_F) = 0.48 states/eV/atom; E = -4.898 eV per atom; energy relative to the elements = -0.30 eV per atom
1.0
3.986 0.000 0.018
1.993 5.972 0.009
-0.032 0.000 7.130
Pt Cu Zn
6 4 2
Direct
0.833 0.333 0.250
0.500 0.000 0.745
0.167 0.667 0.250
0.500 0.000 0.255
0.167 0.667 0.750
0.833 0.333 0.750
0.000 0.000 0.000
0.332 0.336 0.500
0.668 0.664 0.500
0.000 0.000 0.500
0.662 0.675 0.000
0.338 0.325 0.000



Zn2CuPt3, optimized geometry, DFT PBE; theoretical density = 15.0 g/cm3; DOS(E_F) = 0.23 states/eV/atom; E = -4.570 eV per atom; energy relative to the elements = -0.44 eV per atom
1.0
2.859 0.000 0.000
0.000 2.859 0.000
0.000 0.000 10.563
Pt Zn Cu
3 2 1
Direct
0.000 0.000 0.336
0.000 0.000 0.000
0.000 0.000 0.664
0.500 0.500 0.830
0.500 0.500 0.170
0.500 0.500 0.500



Zn11Cu9Pt4, optimized geometry, DFT PBE; theoretical density = 10.4 g/cm3; DOS(E_F) = 0.37 states/eV/atom; E = -3.332 eV per atom; energy relative to the elements = -0.21 eV per atom
1.0
2.758 0.000 0.000
0.000 10.491 -4.531
0.000 -0.044 11.428
Zn Cu Pt
11 9 4
Direct
0.000 0.813 0.187
0.000 0.787 0.787
0.000 0.595 0.962
0.000 0.405 0.038
0.000 0.038 0.405
0.000 0.000 0.000
0.000 0.623 0.377
0.000 0.377 0.623
0.000 0.213 0.213
0.000 0.962 0.595
0.000 0.187 0.813
0.500 0.988 0.802
0.500 0.170 0.616
0.500 0.384 0.830
0.500 0.500 0.500
0.500 0.616 0.170
0.500 0.802 0.988
0.500 0.198 0.012
0.500 0.012 0.198
0.500 0.830 0.384
0.500 0.758 0.583
0.500 0.417 0.242
0.500 0.583 0.758
0.500 0.242 0.417



no.,magnetization (μB/cell)
1,0.000
2,0.000
3,0.000
4,0.000
5,0.000
6,0.000